## CaPmAu4 (PBE-GGA)

Data for CaPmAu4 after structural relaxation.

Summary:
The calculation puts the relative energy among the computed polymorphs at 0 meV per atom. The formation energy comes out at -744 meV per atom.

Cell lengths 5.376, 5.337, 5.334 Å; angles 60.55, 89.95, 89.94 degrees
Positions (direct):
Ca  0.001  0.998  0.498
Pm  0.501  0.497  0.998
Au  0.502  0.832  0.333
Au  0.501  0.162  0.664
Au  0.002  0.330  0.830
Au  0.001  0.665  0.165